# 1
Crystalline TlZn2Se at its relaxed geometry. Source: the Alexandria database, functional PBE.

Calculated total energy = -2.0995 eV/atom
V = 191.2 Å³ per cell
Formation energy without anion corrections = 0.000 eV/atom
Total magnetization = 0.00 μB per formula unit
E above lowest polymorph = 99.5 meV per atom

Cell lengths 3.727, 6.238, 8.226 Å; angles 90.00, 90.00, 90.00 degrees
Space group Immm (No. 71)
One atom of each set of equivalent atoms:
Tl (0.000, 0.000, 0.000) (multiplicity 2)
Zn (0.000, 0.500, 0.221) (multiplicity 4)
Se (0.000, 0.000, 0.500) (multiplicity 2)

***

# 2
Crystalline TlZn2Se at its relaxed geometry. Source: the Alexandria database, functional PBE.

Calculated total energy = -2.0507 eV/atom
V = 91.8 Å³ per cell
Formation energy without anion corrections = 0.049 eV/atom
Total magnetization = 0.00 μB per formula unit
E above lowest polymorph = 148.3 meV per atom

Cell lengths 3.866, 4.036, 5.880 Å; angles 90.00, 90.00, 90.00 degrees
Space group Pmmm (No. 47)
One atom of each set of equivalent atoms:
Tl (0.000, 0.000, 0.000) (multiplicity 1)
Zn (0.000, 0.500, 0.500) (multiplicity 1)
Zn (0.500, 0.500, 0.000) (multiplicity 1)
Se (0.500, 0.000, 0.500) (multiplicity 1)

***

Q: What is the formula in the second record?
A: TlZn2Se